## RbNbVTe2 (PBE)

Data for a relaxed RbNbVTe2 crystal.

Calculated values
Energy relative to the elements, uncorrected   0.929 eV per atom

Structure (POSCAR):
```
RbNbVTe2
1.0
5.405 0.000 0.000
0.000 5.405 0.000
0.000 0.000 5.379
Rb Nb V Te
1 1 1 2
Cartesian
0.000 0.000 0.000
2.703 2.703 0.000
0.000 0.000 2.690
0.000 2.703 2.690
2.703 0.000 2.690
```